No. 1
Ag2RhCl2: optimized geometry, GGA-PBE.

## Properties
- crystal system = tetragonal

The structure in POSCAR format:
```
Ag2RhCl2
1.0
7.4122 0.0000 0.0000
0.0000 7.4122 0.0000
0.0000 0.0000 3.5793
Ag Rh Cl
4 2 4
direct
0.1375 0.3625 0.0000
0.3625 0.8625 0.0000
0.6375 0.1375 0.0000
0.8625 0.6375 0.0000
0.0000 0.0000 0.0000
0.5000 0.5000 0.0000
0.1698 0.6698 0.5000
0.3302 0.1698 0.5000
0.6698 0.8302 0.5000
0.8302 0.3302 0.5000
```

=====

No. 2
Ce2RhS: optimized geometry, GGA-PBE.

## Properties
- crystal system = trigonal

The structure in POSCAR format:
```
Ce2RhS
1.0
1.9679 1.1362 7.0568
-1.9679 1.1362 7.0568
0.0000 -2.2723 7.0568
Ce Rh S
2 1 1
direct
0.2479 0.2479 0.2479
0.7521 0.7521 0.7521
0.5000 0.5000 0.5000
0.0000 0.0000 0.0000
```

=====

No. 3
K2SeBr4: optimized geometry, GGA-PBE.

## Properties
- crystal system = tetragonal

The structure in POSCAR format:
```
K2SeBr4
1.0
-2.8695 2.8695 7.9269
2.8695 -2.8695 7.9269
2.8695 2.8695 -7.9269
K Se Br
2 1 4
direct
0.1270 0.1270 0.0000
0.8730 0.8730 0.0000
0.5000 0.5000 0.0000
0.0000 0.5000 0.5000
0.3353 0.3353 0.0000
0.5000 0.0000 0.5000
0.6647 0.6647 0.0000
```

=====

No. 4
FeSiAs3: optimized geometry, GGA-PBE.

## Properties
- crystal system = cubic

The structure in POSCAR format:
```
FeSiAs3
1.0
4.5566 0.0000 0.0000
0.0000 4.5566 0.0000
0.0000 0.0000 4.5566
Fe Si As
1 1 3
direct
0.0000 0.0000 0.0000
0.5000 0.5000 0.5000
0.0000 0.0000 0.5000
0.0000 0.5000 0.0000
0.5000 0.0000 0.0000
```

=====

no.,relative energy among the computed polymorphs (meV per atom),formation energy without anion corrections (eV per atom),final energy (eV/atom)
1,0.0,0.3785,-2.971
2,0.0,-1.2606,-7.097
3,100.9,-0.9532,-2.720
4,0.0,0.6329,-4.934